# 1
4
Lattice="-0.855 -1.161 3.622 -3.668 0.219 1.303 -2.065 -3.258 0.567" Properties=species:S:1:pos:R:3 comment="PBE TaMoC2, optimized geometry" spacegroup=Fm-3m de_polymorph_ev_per_atom=0.7001 e_form_mev_per_atom=475 mass_density_g_cm3=11.9 pbc="T T T"
Ta -3.294 -2.100 2.746
C -1.647 -1.050 1.373
C -4.941 -3.150 4.119
Mo 0.000 0.000 0.000

=====

# 2
12
Lattice="6.261 0.000 0.000 0.000 4.383 0.000 -5.528 0.000 5.199" Properties=species:S:1:pos:R:3 comment="PBE VFeSi, optimized geometry" raw_formation_energy_mev_per_atom=-298 spacegroup=Cc mass_density_g_cm3=6.3 pbc="T T T"
V 2.573 3.951 1.626
V -0.191 1.759 4.225
V -0.557 2.625 1.626
V -3.321 0.433 4.225
Fe 3.465 1.840 0.833
Fe 0.701 4.032 3.432
Fe 0.335 0.352 0.833
Fe -2.429 2.543 3.432
Si -1.485 0.444 2.475
Si 1.646 1.748 2.475
Si -4.249 2.636 5.074
Si -1.119 3.939 5.074

=====

Number 1: raw total energy -9.808 eV/atom. Number 2: raw total energy -7.966 eV/atom.